Crystalline MnMoRu2 at its relaxed geometry, computed with PBE-GGA.

Output
Formation energy (eV/atom): 0.1280
E above lowest polymorph (meV/atom): 97
SG: P4mm, No. 99

Cell lengths 2.6994, 2.6994, 7.5678 Å; angles 90.00, 90.00, 90.00 degrees
Positions (direct):
Mn1 0.0000 0.0000 0.0000
Mo1 0.5000 0.5000 0.2517
Ru1 0.0000 0.0000 0.5177
Ru2 0.5000 0.5000 0.7743